[1]
Material: Ac3Ho13
Method: DFT, PBE-GGA
State: optimized geometry

Values from the calculation:
- space group = Amm2
- DOS at the Fermi energy (states/eV per atom) = 1.689
- magnetic moment (μB per formula unit) = 0.000
- formation energy from the elements (eV per atom) = 0.05

Cell and atoms, written as POSCAR:
```
Ac3Ho13
1.0
7.381 0.000 0.000
0.000 5.753 6.346
0.000 -5.753 6.346
Ac Ho
3 13
Cartesian
0.000 0.000 0.000 Ac
1.867 0.000 9.422 Ac
5.514 0.000 9.422 Ac
0.000 -2.917 8.450 Ho
0.000 0.000 6.221 Ho
0.000 2.917 8.450 Ho
1.854 0.000 3.173 Ho
1.867 -2.795 5.261 Ho
1.867 2.795 5.261 Ho
3.690 0.000 12.688 Ho
3.690 -2.992 8.414 Ho
3.690 0.000 6.224 Ho
3.690 2.992 8.414 Ho
5.514 -2.795 5.261 Ho
5.514 2.795 5.261 Ho
5.527 0.000 3.173 Ho
```

[2]
Material: EuPuHgPt
Method: DFT, PBE-GGA
State: optimized geometry

Values from the calculation:
- space group = F-43m
- DOS at the Fermi energy (states/eV per atom) = 4.291
- magnetic moment (μB per formula unit) = 1.309
- formation energy from the elements (eV per atom) = -0.48

Cell and atoms, written as POSCAR:
```
EuPuHgPt
1.0
0.000 3.677 3.677
3.677 0.000 3.677
3.677 3.677 0.000
Eu Pu Hg Pt
1 1 1 1
Cartesian
0.000 0.000 0.000 Eu
3.677 3.677 3.677 Pu
1.839 1.839 1.839 Hg
5.516 5.516 5.516 Pt
```

[3]
Material: CsBaPt2Au
Method: DFT, PBE-GGA
State: optimized geometry

Values from the calculation:
- space group = P4/mmm
- DOS at the Fermi energy (states/eV per atom) = 1.395
- magnetic moment (μB per formula unit) = 0.000
- formation energy from the elements (eV per atom) = 0.57

Cell and atoms, written as POSCAR:
```
CsBaPt2Au
1.0
5.623 0.000 0.000
0.000 5.623 0.000
0.000 0.000 6.422
Cs Ba Pt Au
1 1 2 1
Cartesian
0.000 0.000 0.000 Cs
2.811 2.811 3.211 Ba
0.000 2.811 3.211 Pt
2.811 0.000 3.211 Pt
2.811 2.811 0.000 Au
```

[4]
Material: KBPb
Method: DFT, PBE-GGA
State: optimized geometry

Values from the calculation:
- distance to the lowest polymorph of the same formula (meV per atom) = 563
- space group = P4/nmm
- DOS at the Fermi energy (states/eV per atom) = 0.343
- magnetic moment (μB per formula unit) = 0.000
- formation energy from the elements (eV per atom) = 0.70

Cell and atoms, written as POSCAR:
```
KBPb
1.0
4.550 0.000 0.000
0.000 4.550 0.000
0.000 0.000 7.784
K B Pb
2 2 2
Cartesian
1.138 1.138 1.423 K
3.413 3.413 6.361 K
1.138 3.413 3.892 B
3.413 1.138 3.892 B
1.138 1.138 5.092 Pb
3.413 3.413 2.692 Pb
```

[5]
Material: KRb5NaHg
Method: DFT, PBE-GGA
State: optimized geometry

Values from the calculation:
- space group = C2/c
- DOS at the Fermi energy (states/eV per atom) = 0.625
- magnetic moment (μB per formula unit) = 0.000
- formation energy from the elements (eV per atom) = 0.00

Cell and atoms, written as POSCAR:
```
KRb5NaHg
1.0
5.170 -8.644 0.000
5.170 8.644 0.000
-0.415 0.000 12.560
K Rb Na Hg
2 10 2 2
Cartesian
4.859 7.186 9.420 K
5.067 -7.186 3.140 K
4.111 5.104 5.060 Rb
2.417 0.548 12.400 Rb
6.022 5.104 1.221 Rb
2.624 -0.548 6.120 Rb
4.859 2.885 9.420 Rb
5.067 -2.885 3.140 Rb
7.301 0.548 6.441 Rb
3.903 -5.104 11.340 Rb
7.509 -0.548 0.160 Rb
5.815 -5.104 7.501 Rb
5.067 1.556 3.140 Na
4.859 -1.556 9.420 Na
2.585 4.322 0.000 Hg
2.377 -4.322 6.280 Hg
```

[6]
Material: U2Ni4Ge3Au
Method: DFT, PBE-GGA
State: optimized geometry

Values from the calculation:
- space group = P-4m2
- DOS at the Fermi energy (states/eV per atom) = 1.848
- magnetic moment (μB per formula unit) = 4.105
- formation energy from the elements (eV per atom) = -0.31

Cell and atoms, written as POSCAR:
```
U2Ni4Ge3Au
1.0
3.914 0.000 0.000
0.000 3.914 0.000
0.000 0.000 10.676
U Ni Ge Au
2 4 3 1
Cartesian
0.000 1.957 2.629 U
1.957 0.000 8.047 U
0.000 0.000 0.000 Ni
0.000 1.957 7.034 Ni
1.957 0.000 3.642 Ni
1.957 1.957 0.000 Ni
0.000 1.957 9.354 Ge
1.957 0.000 1.322 Ge
1.957 1.957 5.338 Ge
0.000 0.000 5.338 Au
```

[7]
Material: K2BaI
Method: DFT, PBE-GGA
State: optimized geometry

Values from the calculation:
- distance to the lowest polymorph of the same formula (meV per atom) = 30
- space group = R-3m
- DOS at the Fermi energy (states/eV per atom) = 0.887
- magnetic moment (μB per formula unit) = 0.452
- ΔE_f (raw) (eV/atom) = -0.57

Cell and atoms, written as POSCAR:
```
K2BaI
1.0
2.307 1.332 13.229
-2.307 1.332 13.229
0.000 -2.663 13.229
K Ba I
2 1 1
Cartesian
0.000 0.000 4.322 K
0.000 0.000 35.365 K
0.000 0.000 0.000 Ba
0.000 0.000 19.844 I
```

[8]
Material: SmScPb
Method: DFT, PBE-GGA
State: optimized geometry

Values from the calculation:
- distance to the lowest polymorph of the same formula (meV per atom) = 209
- space group = I4mm
- DOS at the Fermi energy (states/eV per atom) = 0.797
- magnetic moment (μB per formula unit) = 1.471
- formation energy from the elements (eV per atom) = -0.25

Cell and atoms, written as POSCAR:
```
SmScPb
1.0
-1.931 1.931 5.619
1.931 -1.931 5.619
1.931 1.931 -5.619
Sm Sc Pb
1 1 1
Cartesian
0.000 0.000 0.000 Sm
0.000 0.000 3.529 Sc
0.000 0.000 7.632 Pb
```

[9]
Material: PmInHg
Method: DFT, PBE-GGA
State: optimized geometry

Values from the calculation:
- distance to the lowest polymorph of the same formula (meV per atom) = 129
- space group = I4mm
- DOS at the Fermi energy (states/eV per atom) = 0.883
- magnetic moment (μB per formula unit) = 0.001
- formation energy from the elements (eV per atom) = -0.35

Cell and atoms, written as POSCAR:
```
PmInHg
1.0
-1.839 1.839 5.904
1.839 -1.839 5.904
1.839 1.839 -5.904
Pm In Hg
1 1 1
Cartesian
0.000 0.000 0.000 Pm
0.000 0.000 3.758 In
0.000 0.000 7.879 Hg
```

[10]
Material: AcAlZn2Pd5
Method: DFT, PBE-GGA
State: optimized geometry

Values from the calculation:
- space group = P4/mmm
- DOS at the Fermi energy (states/eV per atom) = 0.396
- magnetic moment (μB per formula unit) = 0.000
- formation energy from the elements (eV per atom) = -0.45

Cell and atoms, written as POSCAR:
```
AcAlZn2Pd5
1.0
4.779 0.000 0.000
0.000 4.779 0.000
0.000 0.000 7.355
Ac Al Zn Pd
1 1 2 5
Cartesian
0.000 0.000 0.000 Ac
0.000 0.000 3.678 Al
2.390 2.390 2.484 Zn
2.390 2.390 4.871 Zn
0.000 2.390 2.224 Pd
0.000 2.390 5.131 Pd
2.390 0.000 2.224 Pd
2.390 0.000 5.131 Pd
2.390 2.390 0.000 Pd
```

[11]
Material: MnFeP2
Method: DFT, PBE-GGA
State: optimized geometry

Values from the calculation:
- distance to the lowest polymorph of the same formula (meV per atom) = 826
- space group = F-43m
- DOS at the Fermi energy (states/eV per atom) = 0.372
- magnetic moment (μB per formula unit) = 4.901
- formation energy from the elements (eV per atom) = 0.24

Cell and atoms, written as POSCAR:
```
MnFeP2
1.0
0.000 2.919 2.919
2.919 0.000 2.919
2.919 2.919 0.000
Mn Fe P
1 1 2
Cartesian
0.000 0.000 0.000 Mn
1.460 1.460 1.460 Fe
2.919 2.919 2.919 P
4.379 4.379 4.379 P
```

[12]
Material: MnZn2Br
Method: DFT, PBE-GGA
State: optimized geometry

Values from the calculation:
- distance to the lowest polymorph of the same formula (meV per atom) = 87
- space group = P4mm
- DOS at the Fermi energy (states/eV per atom) = 0.561
- magnetic moment (μB per formula unit) = 4.126
- ΔE_f (raw) (eV/atom) = 0.13

Cell and atoms, written as POSCAR:
```
MnZn2Br
1.0
3.224 0.000 0.000
0.000 3.224 0.000
0.000 0.000 7.924
Mn Zn Br
1 2 1
Cartesian
0.000 0.000 0.000 Mn
0.000 0.000 2.999 Zn
1.612 1.612 1.675 Zn
1.612 1.612 6.345 Br
```

[13]
Material: SrCaTl3
Method: DFT, PBE-GGA
State: optimized geometry

Values from the calculation:
- distance to the lowest polymorph of the same formula (meV per atom) = 0
- space group = Cmcm
- DOS at the Fermi energy (states/eV per atom) = 0.488
- magnetic moment (μB per formula unit) = 0.000
- formation energy from the elements (eV per atom) = -0.33

Cell and atoms, written as POSCAR:
```
SrCaTl3
1.0
1.973 -15.537 0.000
1.973 15.537 0.000
0.000 0.000 5.201
Sr Ca Tl
2 2 6
Cartesian
1.973 13.110 3.901 Sr
1.973 -13.110 1.300 Sr
1.973 9.001 1.300 Ca
1.973 -9.001 3.901 Ca
1.973 5.727 1.300 Tl
1.973 3.876 3.901 Tl
1.973 0.771 3.901 Tl
1.973 -0.771 1.300 Tl
1.973 -3.876 1.300 Tl
1.973 -5.727 3.901 Tl
```

[14]
Material: La12SmTm7
Method: DFT, PBE-GGA
State: optimized geometry

Values from the calculation:
- distance to the lowest polymorph of the same formula (meV per atom) = 11
- space group = R-3m
- DOS at the Fermi energy (states/eV per atom) = 1.403
- magnetic moment (μB per formula unit) = 0.000
- formation energy from the elements (eV per atom) = 0.21

Cell and atoms, written as POSCAR:
```
La12SmTm7
1.0
9.773 5.643 2.117
-9.773 5.643 2.117
0.000 -11.285 2.117
La Sm Tm
12 1 7
Cartesian
-3.988 -4.378 2.117 La
-5.785 -1.265 2.117 La
0.000 -4.002 1.202 La
-3.466 2.001 1.202 La
-5.785 1.265 4.234 La
-1.797 5.642 2.117 La
3.466 2.001 1.202 La
-3.466 -2.001 5.150 La
-3.988 4.378 4.234 La
1.797 5.642 2.117 La
3.466 -2.001 5.150 La
0.000 4.002 5.150 La
0.000 0.000 3.176 Sm
0.000 0.000 0.000 Tm
-2.411 -1.392 1.919 Tm
2.411 -1.392 1.919 Tm
0.000 2.783 1.919 Tm
0.000 -2.783 4.432 Tm
-2.411 1.392 4.432 Tm
2.411 1.392 4.432 Tm
```

[15]
Material: Na3La
Method: DFT, PBE-GGA
State: optimized geometry

Values from the calculation:
- distance to the lowest polymorph of the same formula (meV per atom) = 88
- space group = P6_3/mmc
- DOS at the Fermi energy (states/eV per atom) = 1.314
- magnetic moment (μB per formula unit) = 0.626
- formation energy from the elements (eV per atom) = 0.28

Cell and atoms, written as POSCAR:
```
Na3La
1.0
7.506 0.000 0.000
-3.753 6.501 0.000
0.000 0.000 5.912
Na La
6 2
Cartesian
0.000 2.113 1.478 Na
-1.923 5.444 1.478 Na
1.830 1.056 4.434 Na
1.923 5.444 1.478 Na
5.676 1.056 4.434 Na
3.753 4.388 4.434 Na
0.000 4.334 4.434 La
3.753 2.167 1.478 La
```

[16]
Material: SrTi3Re
Method: DFT, PBE-GGA
State: optimized geometry

Values from the calculation:
- distance to the lowest polymorph of the same formula (meV per atom) = 1808
- space group = Pm-3m
- DOS at the Fermi energy (states/eV per atom) = 1.054
- magnetic moment (μB per formula unit) = 0.128
- formation energy from the elements (eV per atom) = 2.25

Cell and atoms, written as POSCAR:
```
SrTi3Re
1.0
4.589 0.000 0.000
0.000 4.589 0.000
0.000 0.000 4.589
Sr Ti Re
1 3 1
Cartesian
0.000 0.000 0.000 Sr
0.000 0.000 2.295 Ti
0.000 2.295 0.000 Ti
2.295 0.000 0.000 Ti
2.295 2.295 2.295 Re
```

[17]
Material: FeTc2W
Method: DFT, PBE-GGA
State: optimized geometry

Values from the calculation:
- space group = R3m
- DOS at the Fermi energy (states/eV per atom) = 0.945
- magnetic moment (μB per formula unit) = 1.725
- formation energy from the elements (eV per atom) = 0.20

Cell and atoms, written as POSCAR:
```
FeTc2W
1.0
1.365 0.788 8.892
-1.365 0.788 8.892
0.000 -1.576 8.892
Fe Tc W
1 2 1
Cartesian
0.000 0.000 0.000 Fe
0.000 0.000 13.198 Tc
0.000 0.000 19.890 Tc
0.000 0.000 6.692 W
```

[18]
Material: Pu2Si2Se7
Method: DFT, PBE-GGA
State: optimized geometry

Values from the calculation:
- space group = C2/m
- DOS at the Fermi energy (states/eV per atom) = 2.005
- magnetic moment (μB per formula unit) = 10.000
- ΔE_f (raw) (eV/atom) = -0.68

Cell and atoms, written as POSCAR:
```
Pu2Si2Se7
1.0
4.667 -5.608 0.000
4.667 5.608 0.000
-1.170 0.000 6.216
Pu Si Se
2 2 7
Cartesian
4.667 3.405 0.000 Pu
4.667 -3.405 0.000 Pu
1.843 0.000 3.676 Si
6.320 0.000 2.540 Si
1.394 1.957 4.772 Se
0.690 0.000 1.676 Se
1.394 -1.957 4.772 Se
4.082 0.000 3.108 Se
6.769 1.957 1.445 Se
7.473 0.000 4.540 Se
6.769 -1.957 1.445 Se
```

[19]
Material: Th6Os2RhSe3
Method: DFT, PBE-GGA
State: optimized geometry

Values from the calculation:
- space group = C2/m
- DOS at the Fermi energy (states/eV per atom) = 0.512
- magnetic moment (μB per formula unit) = 0.000
- ΔE_f (raw) (eV/atom) = -1.09

Cell and atoms, written as POSCAR:
```
Th6Os2RhSe3
1.0
9.475 -2.062 0.000
9.475 2.062 0.000
-2.736 0.000 8.323
Th Os Rh Se
6 2 1 3
Cartesian
-0.465 0.000 1.943 Th
4.965 0.000 3.642 Th
3.985 0.000 7.441 Th
12.228 0.000 0.882 Th
11.248 0.000 4.681 Th
16.678 0.000 6.380 Th
2.233 0.000 2.758 Os
13.980 0.000 5.565 Os
9.475 0.000 0.000 Rh
0.864 0.000 6.936 Se
8.106 0.000 4.161 Se
15.349 0.000 1.387 Se
```

[20]
Material: CePuTh2S4
Method: DFT, PBE-GGA
State: optimized geometry

Values from the calculation:
- space group = P2/m
- DOS at the Fermi energy (states/eV per atom) = 1.404
- magnetic moment (μB per formula unit) = 5.934
- ΔE_f (raw) (eV/atom) = -1.89

Cell and atoms, written as POSCAR:
```
CePuTh2S4
1.0
6.922 0.000 0.000
0.000 4.012 0.000
-2.328 0.000 6.575
Ce Pu Th S
1 1 2 4
Cartesian
0.000 0.000 0.000 Ce
3.461 2.006 0.000 Pu
-1.164 2.006 3.288 Th
2.297 0.000 3.288 Th
1.172 2.006 1.605 S
0.007 0.000 4.988 S
4.587 0.000 1.587 S
3.423 2.006 4.970 S
```

[21]
Material: MgGa2Rh3
Method: DFT, PBE-GGA
State: optimized geometry

Values from the calculation:
- space group = P4/mmm
- DOS at the Fermi energy (states/eV per atom) = 0.283
- magnetic moment (μB per formula unit) = 0.000
- formation energy from the elements (eV per atom) = -0.70

Cell and atoms, written as POSCAR:
```
MgGa2Rh3
1.0
3.053 0.000 0.000
0.000 3.053 0.000
0.000 0.000 9.199
Mg Ga Rh
1 2 3
Cartesian
0.000 0.000 0.000 Mg
0.000 0.000 3.057 Ga
0.000 0.000 6.142 Ga
1.527 1.527 1.651 Rh
1.527 1.527 4.600 Rh
1.527 1.527 7.548 Rh
```

[22]
Material: V4CrRh
Method: DFT, PBE-GGA
State: optimized geometry

Values from the calculation:
- distance to the lowest polymorph of the same formula (meV per atom) = 0
- space group = Cmmm
- DOS at the Fermi energy (states/eV per atom) = 0.527
- magnetic moment (μB per formula unit) = 0.000
- formation energy from the elements (eV per atom) = -0.22

Cell and atoms, written as POSCAR:
```
V4CrRh
1.0
2.099 -4.491 0.000
2.099 4.491 0.000
0.000 0.000 4.186
V Cr Rh
4 1 1
Cartesian
2.099 2.993 0.000 V
2.099 1.515 2.093 V
2.099 -1.515 2.093 V
2.099 -2.993 0.000 V
0.000 0.000 2.093 Cr
2.099 0.000 0.000 Rh
```

[23]
Material: BaLaOs2
Method: DFT, PBE-GGA
State: optimized geometry

Values from the calculation:
- distance to the lowest polymorph of the same formula (meV per atom) = 959
- space group = I-4m2
- DOS at the Fermi energy (states/eV per atom) = 1.279
- magnetic moment (μB per formula unit) = 0.959
- formation energy from the elements (eV per atom) = 1.05

Cell and atoms, written as POSCAR:
```
BaLaOs2
1.0
-2.167 2.167 4.985
2.167 -2.167 4.985
2.167 2.167 -4.985
Ba La Os
1 1 2
Cartesian
0.000 0.000 0.000 Ba
2.167 0.000 2.492 La
0.000 0.000 4.985 Os
0.000 2.167 2.492 Os
```

[24]
Material: CsVSbH2
Method: DFT, PBE-GGA
State: optimized geometry

Values from the calculation:
- calculated total energy (eV per atom) = -2.86
- space group = P4/mmm
- DOS at the Fermi energy (states/eV per atom) = 0.800
- magnetic moment (μB per formula unit) = 5.009

Cell and atoms, written as POSCAR:
```
CsVSbH2
1.0
4.338 0.000 0.000
0.000 4.338 0.000
0.000 0.000 7.385
Cs V Sb H
1 1 1 2
Cartesian
0.000 0.000 0.000 Cs
2.169 2.169 0.000 V
0.000 0.000 3.693 Sb
0.000 2.169 3.693 H
2.169 0.000 3.693 H
```

[25]
Material: TeI2Br
Method: DFT, PBE-GGA
State: optimized geometry

Values from the calculation:
- distance to the lowest polymorph of the same formula (meV per atom) = 481
- space group = Fm-3m
- DOS at the Fermi energy (states/eV per atom) = 0.681
- magnetic moment (μB per formula unit) = 0.000
- ΔE_f (raw) (eV/atom) = 0.36

Cell and atoms, written as POSCAR:
```
TeI2Br
1.0
0.000 3.947 3.947
3.947 0.000 3.947
3.947 3.947 0.000
Te I Br
1 2 1
Cartesian
0.000 0.000 0.000 Te
1.973 1.973 1.973 I
5.920 5.920 5.920 I
3.947 3.947 3.947 Br
```